Entry from Alexandria: a relaxed structure of Ca2LuIn (PBE).

Values from the calculation:
DFT total energy: -3.01 eV/atom
distance to the lowest polymorph of the same formula: 0 meV per atom
calculated formation energy: -0.190 eV/atom
magnetic moment: 0.00 μB per cell

Unit cell a=4.8205 b=4.8205 c=5.1782 alpha=90.00 beta=90.00 gamma=90.00
Closest atoms and distances in Å follow each position.
Space group P4/mmm (No. 123)
One atom of each set of equivalent atoms:
Ca: 0.0000 0.5000 0.0000  4 Ca 3.41, 4 In 3.54, 4 Lu 3.54
Lu: 0.0000 0.0000 0.5000  4 In 3.41, 8 Ca 3.54
In: 0.5000 0.5000 0.5000  4 Lu 3.41, 8 Ca 3.54